Entry from the Alexandria database: a geometry-optimized ThU2Cr2C4 structure (PBE-GGA).

Cell lengths 13.2920, 3.2511, 6.0157 Å; angles 90.00, 109.20, 90.00 degrees
Last column: nearest neighbours and their distance in Å.
Space group C2/m (No. 12)
Symmetry-distinct sites (fractional):
Th  0.0000  0.0000  0.0000  4 C 2.57
U  0.1315  0.0000  0.5352  5 C 2.43-2.60
Cr  0.1859  0.5000  0.0050  4 C 2.05-2.07
C  0.0489  0.5000  0.7205  1 Cr 2.05
C  0.2308  0.0000  0.2280  3 Cr 2.05-2.07

Calculated values
ρ in kg/m3: 11636
Raw total energy in eV/atom: -9.5283
Crystal system: monoclinic